DFT (PBE) results for an optimized crystal structure of CaTcW2.

As for the formation energy: 572 meV/atom. The density of states at the Fermi level comes out at 0.91 states/eV per atom. As for the energy above the most stable polymorph in this dataset: 0.077 eV per atom. The crystal system is orthorhombic. The calculation puts the total energy at -8.997 eV/atom.

The structure belongs to space group Immm (No. 71); the cell edges are 3.116, 4.710 and 9.613 Å and the angles 90.00°, 90.00° and 90.00°. The asymmetric unit holds Ca at (0.000, 0.000, 0.000), Tc at (0.000, 0.000, 0.500) and W at (0.000, 0.500, 0.229).